1.
Density functional theory data (GGA-PBE) for CsTcS2 after structural relaxation.

The structure in extended XYZ format:
```
4
Lattice="-1.971 1.971 6.907 1.971 -1.971 6.907 1.971 1.971 -6.907" Properties=species:S:1:pos:R:3 pbc="T T T"
Cs 0.000 0.000 0.000
Tc 1.971 0.000 3.454
S 0.000 0.000 4.590
S 0.000 0.000 9.224
```

## Properties
The distance to the lowest polymorph of the same formula is 0.142 eV per atom.


2.
Density functional theory data (GGA-PBE) for Tm5SbTe5 after structural relaxation.

The structure in extended XYZ format:
```
11
Lattice="6.774 -3.053 0.000 6.774 3.053 0.000 -2.713 0.000 8.133" Properties=species:S:1:pos:R:3 pbc="T T T"
Tm 0.000 0.000 0.000
Tm 4.092 0.000 1.363
Tm 2.755 0.000 5.439
Tm 8.080 0.000 2.695
Tm 6.743 0.000 6.770
Sb 6.774 0.000 0.000
Te 1.315 0.000 2.744
Te -0.006 0.000 6.734
Te 5.417 0.000 4.067
Te 10.841 0.000 1.399
Te 9.520 0.000 5.390
```

## Properties
The value obtained for the electronic total energy is -5.1215 eV/atom.


3.
Density functional theory data (GGA-PBE) for Ba2ZnPtCl after structural relaxation.

The structure in extended XYZ format:
```
5
Lattice="6.131 0.000 0.000 0.000 6.131 0.000 0.000 0.000 4.864" Properties=species:S:1:pos:R:3 pbc="T T T"
Ba 0.000 3.066 0.000
Ba 3.066 0.000 0.000
Zn 0.000 0.000 2.432
Pt 0.000 0.000 0.000
Cl 3.066 3.066 2.432
```

## Properties
The value obtained for the electronic total energy is -3.5515 eV/atom.


4.
Density functional theory data (GGA-PBE) for TiGa2CuBr after structural relaxation.

The structure in extended XYZ format:
```
5
Lattice="4.520 0.000 0.000 0.000 4.520 0.000 0.000 0.000 5.170" Properties=species:S:1:pos:R:3 pbc="T T T"
Ti 0.000 0.000 0.000
Ga 0.000 2.260 2.585
Ga 2.260 0.000 2.585
Cu 0.000 0.000 2.585
Br 2.260 2.260 0.000
```

## Properties
The value obtained for the electronic total energy is -3.7000 eV/atom.


5.
Density functional theory data (GGA-PBE) for TaSi8 after structural relaxation.

The structure in extended XYZ format:
```
9
Lattice="-4.294 4.294 1.758 4.294 -4.294 1.758 4.294 4.294 -1.758" Properties=species:S:1:pos:R:3 pbc="T T T"
Ta 0.000 0.000 0.000
Si 2.832 0.000 0.000
Si 5.757 0.000 0.000
Si 0.000 2.832 0.000
Si 2.845 2.845 0.000
Si 1.450 -1.450 1.758
Si -1.450 1.450 1.758
Si 1.450 1.450 1.758
Si 0.000 5.757 0.000
```

## Properties
The value obtained for the electronic total energy is -5.8719 eV/atom.


6.
Density functional theory data (GGA-PBE) for Tb4CS3 after structural relaxation.

The structure in extended XYZ format:
```
8
Lattice="5.458 0.000 0.000 0.000 5.458 0.000 0.000 0.000 5.458" Properties=species:S:1:pos:R:3 pbc="T T T"
Tb 0.000 0.000 0.000
Tb 0.000 2.729 2.729
Tb 2.729 0.000 2.729
Tb 2.729 2.729 0.000
C 2.729 2.729 2.729
S 0.000 0.000 2.729
S 0.000 2.729 0.000
S 2.729 0.000 0.000
```

## Properties
The distance to the lowest polymorph of the same formula is 0.108 eV per atom.


7.
Density functional theory data (GGA-PBE) for NaZrAgCl6 after structural relaxation.

The structure in extended XYZ format:
```
18
Lattice="6.802 0.000 0.000 -3.401 5.890 0.000 0.000 0.000 12.335" Properties=species:S:1:pos:R:3 pbc="T T T"
Na 0.000 0.000 0.000
Na 0.000 0.000 6.167
Zr 0.000 3.927 3.084
Zr 3.401 1.963 9.251
Ag 0.000 3.927 9.251
Ag 3.401 1.963 3.084
Cl -1.028 2.170 1.633
Cl -2.036 3.915 4.534
Cl 1.028 2.170 4.534
Cl -1.008 5.696 1.633
Cl 2.393 0.195 7.801
Cl 1.365 1.975 10.701
Cl 2.036 3.915 1.633
Cl 1.008 5.696 4.534
Cl 4.409 0.195 10.701
Cl 2.373 3.721 7.801
Cl 5.437 1.975 7.801
Cl 4.429 3.721 10.701
```

## Properties
The value obtained for the electronic total energy is -4.1378 eV/atom.


8.
Density functional theory data (GGA-PBE) for V2BH after structural relaxation.

The structure in extended XYZ format:
```
4
Lattice="1.503 0.868 5.581 -1.503 0.868 5.581 0.000 -1.736 5.581" Properties=species:S:1:pos:R:3 pbc="T T T"
V 0.000 0.000 1.641
V 0.000 0.000 15.102
B 0.000 0.000 8.372
H 0.000 0.000 0.000
```

## Properties
The distance to the lowest polymorph of the same formula is 0.389 eV per atom.